[1]
{
  "formula": "Sr2CrCd",
  "functional": "PBE-GGA",
  "state": "relaxed",
  "total_energy_ev_per_cell": -13.13,
  "ef_ev_per_fu": 0.77,
  "lattice": [[4.610, 0.000, 0.000], [0.000, 4.908, 0.000], [-2.293, 0.000, 6.218]],
  "species": ["Sr", "Sr", "Cr", "Cd"],
  "frac_coords": [[0.000, 0.000, 0.000], [0.290, 0.500, 0.581], [0.708, 0.000, 0.416], [0.582, 0.500, 0.164]]
}

[2]
{
  "formula": "Pr13Sm3",
  "functional": "PBE-GGA",
  "state": "relaxed",
  "total_energy_ev_per_cell": -76.09,
  "ef_ev_per_fu": 0.20,
  "lattice": [[10.479, 0.000, 0.000], [0.000, 5.223, 5.225], [0.000, -5.223, 5.225]],
  "species": ["Pr", "Pr", "Pr", "Pr", "Pr", "Pr", "Pr", "Pr", "Pr", "Pr", "Pr", "Pr", "Pr", "Sm", "Sm", "Sm"],
  "frac_coords": [[0.000, 0.000, 0.000], [0.000, 0.000, 0.498], [0.000, 0.498, 0.000], [0.000, 0.498, 0.498], [0.251, 0.248, 0.749], [0.251, 0.749, 0.248], [0.251, 0.749, 0.749], [0.500, 0.000, 0.497], [0.500, 0.497, 0.000], [0.500, 0.497, 0.497], [0.749, 0.248, 0.749], [0.749, 0.749, 0.248], [0.749, 0.749, 0.749], [0.250, 0.248, 0.248], [0.500, 0.000, 0.000], [0.750, 0.248, 0.248]]
}

[3]
{
  "formula": "CsTlS3",
  "functional": "PBE-GGA",
  "state": "relaxed",
  "relative_energy_mev_per_atom": 808,
  "total_energy_ev_per_cell": -11.46,
  "formation_energy_uncorrected_ev_per_atom": 0.828,
  "lattice": [[5.734, 0.000, 0.000], [0.000, 5.734, 0.000], [0.000, 0.000, 5.734]],
  "species": ["Cs", "Tl", "S", "S", "S"],
  "frac_coords": [[0.000, 0.000, 0.000], [0.500, 0.500, 0.500], [0.000, 0.000, 0.500], [0.000, 0.500, 0.000], [0.500, 0.000, 0.000]]
}

[4]
{
  "formula": "Y4AsPtS2",
  "functional": "PBE-GGA",
  "state": "relaxed",
  "total_energy_ev_per_cell": -57.95,
  "formation_energy_uncorrected_ev_per_atom": -1.643,
  "lattice": [[6.954, 0.000, 0.000], [0.000, 3.991, 0.000], [-2.298, 0.000, 6.686]],
  "species": ["Y", "Y", "Y", "Y", "As", "Pt", "S", "S"],
  "frac_coords": [[0.246, 0.000, 0.251], [0.248, 0.500, 0.747], [0.752, 0.500, 0.253], [0.754, 0.000, 0.749], [0.500, 0.000, 0.000], [0.000, 0.500, 0.000], [0.000, 0.000, 0.500], [0.500, 0.500, 0.500]]
}

[5]
{
  "formula": "RbSc2SbSe",
  "functional": "PBE-GGA",
  "state": "relaxed",
  "relative_energy_mev_per_atom": 0,
  "total_energy_ev_per_cell": -22.91,
  "formation_energy_uncorrected_ev_per_atom": -0.335,
  "lattice": [[5.138, 0.000, 0.000], [0.000, 5.138, 0.000], [0.000, 0.000, 5.955]],
  "species": ["Rb", "Sc", "Sc", "Sb", "Se"],
  "frac_coords": [[0.000, 0.000, 0.000], [0.000, 0.500, 0.500], [0.500, 0.000, 0.500], [0.500, 0.500, 0.000], [0.000, 0.000, 0.500]]
}

[6]
{
  "formula": "ZnCrSb3",
  "functional": "PBE-GGA",
  "state": "relaxed",
  "relative_energy_mev_per_atom": 833,
  "total_energy_ev_per_cell": -16.78,
  "formation_energy_uncorrected_ev_per_atom": 1.298,
  "lattice": [[5.141, 0.000, 0.000], [0.000, 5.141, 0.000], [0.000, 0.000, 5.141]],
  "species": ["Zn", "Cr", "Sb", "Sb", "Sb"],
  "frac_coords": [[0.000, 0.000, 0.000], [0.500, 0.500, 0.500], [0.000, 0.000, 0.500], [0.000, 0.500, 0.000], [0.500, 0.000, 0.000]]
}

[7]
{
  "formula": "ZnHgIr2",
  "functional": "PBE-GGA",
  "state": "relaxed",
  "total_energy_ev_per_cell": -35.80,
  "ef_ev_per_fu": 1.40,
  "lattice": [[4.013, 0.000, 0.000], [0.000, 4.013, 0.000], [0.000, 0.000, 7.940]],
  "species": ["Zn", "Zn", "Hg", "Hg", "Ir", "Ir", "Ir", "Ir"],
  "frac_coords": [[0.000, 0.000, 0.000], [0.500, 0.500, 0.500], [0.000, 0.000, 0.500], [0.500, 0.500, 0.000], [0.000, 0.500, 0.250], [0.000, 0.500, 0.750], [0.500, 0.000, 0.250], [0.500, 0.000, 0.750]]
}

[8]
{
  "formula": "SrZrTe2",
  "functional": "PBE-GGA",
  "state": "relaxed",
  "relative_energy_mev_per_atom": 308,
  "total_energy_ev_per_cell": -39.16,
  "formation_energy_uncorrected_ev_per_atom": -0.767,
  "lattice": [[4.375, 0.000, 0.000], [0.000, 6.588, 0.000], [0.000, 0.000, 8.835]],
  "species": ["Sr", "Sr", "Zr", "Zr", "Te", "Te", "Te", "Te"],
  "frac_coords": [[0.000, 0.000, 0.000], [0.500, 0.500, 0.500], [0.000, 0.000, 0.500], [0.500, 0.500, 0.000], [0.000, 0.500, 0.217], [0.000, 0.500, 0.783], [0.500, 0.000, 0.283], [0.500, 0.000, 0.717]]
}

[9]
{
  "formula": "TiZn",
  "functional": "PBE-GGA",
  "state": "relaxed",
  "total_energy_ev_per_cell": -9.54,
  "ef_ev_per_fu": -0.37,
  "lattice": [[3.144, 0.000, 0.000], [0.000, 3.144, 0.000], [0.000, 0.000, 3.144]],
  "species": ["Ti", "Zn"],
  "frac_coords": [[0.000, 0.000, 0.000], [0.500, 0.500, 0.500]]
}

[10]
{
  "formula": "LuNpPd4",
  "functional": "PBE-GGA",
  "state": "relaxed",
  "total_energy_ev_per_cell": -41.39,
  "ef_ev_per_fu": -3.16,
  "lattice": [[0.000, 3.832, 3.832], [3.832, 0.000, 3.832], [3.832, 3.832, 0.000]],
  "species": ["Lu", "Np", "Pd", "Pd", "Pd", "Pd"],
  "frac_coords": [[0.000, 0.000, 0.000], [0.250, 0.250, 0.250], [0.125, 0.625, 0.625], [0.625, 0.125, 0.625], [0.625, 0.625, 0.125], [0.625, 0.625, 0.625]]
}

[11]
{
  "formula": "Ce4SmLu",
  "functional": "PBE-GGA",
  "state": "relaxed",
  "total_energy_ev_per_cell": -31.73,
  "ef_ev_per_fu": 1.24,
  "lattice": [[0.000, 4.465, 4.465], [4.465, 0.000, 4.465], [4.465, 4.465, 0.000]],
  "species": ["Ce", "Ce", "Ce", "Ce", "Sm", "Lu"],
  "frac_coords": [[0.379, 0.379, 0.379], [0.379, 0.379, 0.862], [0.379, 0.862, 0.379], [0.862, 0.379, 0.379], [0.000, 0.000, 0.000], [0.750, 0.750, 0.750]]
}

[12]
{
  "formula": "RbSi3Pt",
  "functional": "PBE-GGA",
  "state": "relaxed",
  "relative_energy_mev_per_atom": 2073,
  "total_energy_ev_per_cell": -10.24,
  "formation_energy_uncorrected_ev_per_atom": 2.608,
  "lattice": [[5.178, 0.000, 0.000], [0.000, 5.178, 0.000], [0.000, 0.000, 5.178]],
  "species": ["Rb", "Si", "Si", "Si", "Pt"],
  "frac_coords": [[0.000, 0.000, 0.000], [0.000, 0.000, 0.500], [0.000, 0.500, 0.000], [0.500, 0.000, 0.000], [0.500, 0.500, 0.500]]
}

[13]
{
  "formula": "KBaP2O",
  "functional": "PBE-GGA",
  "state": "relaxed",
  "relative_energy_mev_per_atom": 0,
  "total_energy_ev_per_cell": -17.73,
  "formation_energy_uncorrected_ev_per_atom": 0.213,
  "lattice": [[6.388, 0.000, 0.000], [0.000, 6.388, 0.000], [0.000, 0.000, 4.720]],
  "species": ["K", "Ba", "P", "P", "O"],
  "frac_coords": [[0.000, 0.000, 0.000], [0.500, 0.500, 0.500], [0.000, 0.500, 0.500], [0.500, 0.000, 0.500], [0.500, 0.500, 0.000]]
}

[14]
{
  "formula": "Ho2Zn17",
  "functional": "PBE-GGA",
  "state": "relaxed",
  "total_energy_ev_per_cell": -35.11,
  "ef_ev_per_fu": -4.30,
  "lattice": [[4.475, 2.584, 4.382], [-4.475, 2.584, 4.382], [0.000, -5.167, 4.382]],
  "species": ["Ho", "Ho", "Zn", "Zn", "Zn", "Zn", "Zn", "Zn", "Zn", "Zn", "Zn", "Zn", "Zn", "Zn", "Zn", "Zn", "Zn", "Zn", "Zn"],
  "frac_coords": [[0.165, 0.165, 0.165], [0.835, 0.835, 0.835], [0.000, 0.500, 0.500], [0.147, 0.147, 0.663], [0.147, 0.663, 0.147], [0.202, 0.500, 0.798], [0.202, 0.798, 0.500], [0.337, 0.853, 0.853], [0.400, 0.400, 0.400], [0.500, 0.000, 0.500], [0.500, 0.202, 0.798], [0.500, 0.500, 0.000], [0.500, 0.798, 0.202], [0.600, 0.600, 0.600], [0.663, 0.147, 0.147], [0.798, 0.202, 0.500], [0.798, 0.500, 0.202], [0.853, 0.337, 0.853], [0.853, 0.853, 0.337]]
}

[15]
{
  "formula": "Na2LaRe",
  "functional": "PBE-GGA",
  "state": "relaxed",
  "relative_energy_mev_per_atom": 264,
  "total_energy_ev_per_cell": -62.26,
  "ef_ev_per_fu": 4.45,
  "lattice": [[7.268, 0.000, 0.000], [0.000, 7.268, 0.000], [0.000, 0.000, 7.268]],
  "species": ["Na", "Na", "Na", "Na", "Na", "Na", "Na", "Na", "La", "La", "La", "La", "Re", "Re", "Re", "Re"],
  "frac_coords": [[0.250, 0.250, 0.250], [0.250, 0.250, 0.750], [0.250, 0.750, 0.250], [0.250, 0.750, 0.750], [0.750, 0.250, 0.250], [0.750, 0.250, 0.750], [0.750, 0.750, 0.250], [0.750, 0.750, 0.750], [0.000, 0.000, 0.000], [0.000, 0.500, 0.500], [0.500, 0.000, 0.500], [0.500, 0.500, 0.000], [0.000, 0.000, 0.500], [0.000, 0.500, 0.000], [0.500, 0.000, 0.000], [0.500, 0.500, 0.500]]
}

[16]
{
  "formula": "Tm2MgTl",
  "functional": "PBE-GGA",
  "state": "relaxed",
  "relative_energy_mev_per_atom": 13,
  "total_energy_ev_per_cell": -54.71,
  "ef_ev_per_fu": -0.77,
  "lattice": [[7.462, 0.000, 0.000], [0.000, 7.462, 0.000], [0.000, 0.000, 7.462]],
  "species": ["Tm", "Tm", "Tm", "Tm", "Tm", "Tm", "Tm", "Tm", "Mg", "Mg", "Mg", "Mg", "Tl", "Tl", "Tl", "Tl"],
  "frac_coords": [[0.250, 0.250, 0.250], [0.250, 0.250, 0.750], [0.250, 0.750, 0.250], [0.250, 0.750, 0.750], [0.750, 0.250, 0.250], [0.750, 0.250, 0.750], [0.750, 0.750, 0.250], [0.750, 0.750, 0.750], [0.000, 0.000, 0.000], [0.000, 0.500, 0.500], [0.500, 0.000, 0.500], [0.500, 0.500, 0.000], [0.000, 0.000, 0.500], [0.000, 0.500, 0.000], [0.500, 0.000, 0.000], [0.500, 0.500, 0.500]]
}

[17]
{
  "formula": "K2SrPbI6",
  "functional": "PBE-GGA",
  "state": "relaxed",
  "total_energy_ev_per_cell": -59.56,
  "formation_energy_uncorrected_ev_per_atom": -1.289,
  "lattice": [[8.383, 0.000, 0.000], [0.000, 8.988, 0.000], [-8.295, 0.000, 12.235]],
  "species": ["K", "K", "K", "K", "Sr", "Sr", "Pb", "Pb", "I", "I", "I", "I", "I", "I", "I", "I", "I", "I", "I", "I"],
  "frac_coords": [[0.211, 0.092, 0.248], [0.211, 0.408, 0.748], [0.789, 0.592, 0.252], [0.789, 0.908, 0.752], [0.500, 0.000, 0.000], [0.500, 0.500, 0.500], [0.000, 0.000, 0.500], [0.000, 0.500, 0.000], [0.116, 0.193, 0.933], [0.116, 0.307, 0.433], [0.247, 0.690, 0.933], [0.247, 0.810, 0.433], [0.381, 0.044, 0.748], [0.381, 0.456, 0.248], [0.619, 0.544, 0.752], [0.619, 0.956, 0.252], [0.753, 0.190, 0.567], [0.753, 0.310, 0.067], [0.884, 0.693, 0.567], [0.884, 0.807, 0.067]]
}

[18]
{
  "formula": "Tb6CeSm3Dy2",
  "functional": "PBE-GGA",
  "state": "relaxed",
  "total_energy_ev_per_cell": -56.67,
  "ef_ev_per_fu": 0.40,
  "lattice": [[3.097, -5.361, 0.000], [3.097, 5.361, 0.000], [-2.064, 0.000, 11.659]],
  "species": ["Tb", "Tb", "Tb", "Tb", "Tb", "Tb", "Ce", "Sm", "Sm", "Sm", "Dy", "Dy"],
  "frac_coords": [[0.083, 0.414, 0.248], [0.249, 0.249, 0.752], [0.414, 0.083, 0.248], [0.586, 0.917, 0.752], [0.751, 0.751, 0.248], [0.917, 0.586, 0.752], [0.000, 0.000, 0.000], [0.167, 0.833, 0.500], [0.500, 0.500, 0.500], [0.833, 0.167, 0.500], [0.333, 0.667, 0.000], [0.667, 0.333, 0.000]]
}

[19]
{
  "formula": "SbN",
  "functional": "PBE-GGA",
  "state": "relaxed",
  "relative_energy_mev_per_atom": 530,
  "total_energy_ev_per_cell": -42.79,
  "formation_energy_uncorrected_ev_per_atom": 0.875,
  "lattice": [[5.344, 0.000, 0.000], [0.000, 5.344, 0.000], [0.000, 0.000, 5.344]],
  "species": ["Sb", "Sb", "Sb", "Sb", "N", "N", "N", "N"],
  "frac_coords": [[0.000, 0.000, 0.000], [0.000, 0.500, 0.500], [0.500, 0.000, 0.500], [0.500, 0.500, 0.000], [0.250, 0.250, 0.250], [0.250, 0.750, 0.750], [0.750, 0.250, 0.750], [0.750, 0.750, 0.250]]
}

[20]
{
  "formula": "Er6Pd2Pb",
  "functional": "PBE-GGA",
  "state": "relaxed",
  "total_energy_ev_per_cell": -92.95,
  "ef_ev_per_fu": -5.00,
  "lattice": [[-4.706, 4.881, 5.214], [4.706, -4.881, 5.214], [4.706, 4.881, -5.214]],
  "species": ["Er", "Er", "Er", "Er", "Er", "Er", "Er", "Er", "Er", "Er", "Er", "Er", "Pd", "Pd", "Pd", "Pd", "Pb", "Pb"],
  "frac_coords": [[0.032, 0.236, 0.796], [0.183, 0.292, 0.475], [0.183, 0.708, 0.892], [0.327, 0.024, 0.697], [0.327, 0.630, 0.303], [0.439, 0.236, 0.204], [0.561, 0.764, 0.796], [0.673, 0.370, 0.697], [0.673, 0.976, 0.303], [0.817, 0.292, 0.108], [0.817, 0.708, 0.525], [0.968, 0.764, 0.204], [0.133, 0.633, 0.500], [0.346, 0.000, 0.346], [0.654, 0.000, 0.654], [0.867, 0.367, 0.500], [0.000, 0.000, 0.000], [0.500, 0.500, 0.000]]
}